Compound: Sm4C2Cl4F
Source: OQMD via LeMat-Bulk
Functional: PBE
Structure: optimized geometry

Cell: 9.4603 9.4603 7.3138 Å, 104.86 104.86 22.45°
With the nearest neighbours (Å) after each atom.
Sites, in units of the cell vectors:
Sm: 0.0030 0.0030 0.2734  4 C 2.57-2.60, 2 F 2.71
Sm: 0.3377 0.3377 0.3672  1 C 2.21
Sm: 0.6623 0.6623 0.6328  1 C 2.21
Sm: 0.9970 0.9970 0.7266  4 C 2.57-2.60, 2 F 2.71
C: 0.4606 0.4606 0.4682  1 C 1.41
C: 0.5394 0.5394 0.5318  1 C 1.41
Cl: 0.1564 0.1564 0.9093  3 Sm 2.76-2.91
Cl: 0.1702 0.1702 0.3506  4 Sm 2.80-3.08
Cl: 0.8298 0.8298 0.6494  4 Sm 2.80-3.08
Cl: 0.8436 0.8436 0.0907  3 Sm 2.76-2.91
F: 0.5000 0.5000 0.0000  4 Sm 2.71

Output
- E_tot (eV per atom) = -5.96
- symmetry = C2/m, No. 12
- spin magnetization (μB/cell) = 0.002

---

Compound: SmPuZn
Source: OQMD via LeMat-Bulk
Functional: PBE
Structure: optimized geometry

Cell: 4.9560 4.9560 4.9560 Å, 60.00 60.00 60.00°
With the nearest neighbours (Å) after each atom.
Sites, in units of the cell vectors:
Sm: 0.0000 0.0000 0.0000  4 Zn 3.03
Pu: 0.5000 0.5000 0.5000  4 Zn 3.03
Zn: 0.7500 0.7500 0.7500  4 Sm 3.03, 4 Pu 3.03

Output
- ΔE_f (eV per atom) = 0.19
- E_tot (eV per atom) = -6.51
- energy above the lowest structure with this stoichiometry (eV per atom) = 0.000
- symmetry = F-43m, No. 216
- spin magnetization (μB/cell) = 6.616

---

Compound: ZnCoAgW
Source: OQMD via LeMat-Bulk
Functional: PBE
Structure: optimized geometry

Cell: 4.3381 4.3381 4.3381 Å, 60.00 60.00 60.00°
With the nearest neighbours (Å) after each atom.
Sites, in units of the cell vectors:
Zn: 0.0000 0.0000 0.0000  4 Ag 2.66, 4 Co 2.66
Co: 0.2500 0.2500 0.2500  4 W 2.66, 4 Zn 2.66
Ag: 0.7500 0.7500 0.7500  4 W 2.66, 4 Zn 2.66
W: 0.5000 0.5000 0.5000  4 Ag 2.66, 4 Co 2.66

Output
- ΔE_f (eV per atom) = 0.50
- E_tot (eV per atom) = -5.54
- energy above the lowest structure with this stoichiometry (eV per atom) = 0.000
- symmetry = F-43m, No. 216
- spin magnetization (μB/cell) = 0.000

---

Compound: DyZn4Sb2
Source: OQMD via LeMat-Bulk
Functional: PBE
Structure: optimized geometry

Cell: 6.3780 6.3780 6.3780 Å, 102.88 102.88 123.65°
With the nearest neighbours (Å) after each atom.
Sites, in units of the cell vectors:
Dy: 0.0000 0.0000 0.0000  8 Zn 3.47
Zn: 0.2820 0.5000 0.7820  2 Zn 2.45, 2 Sb 2.70
Zn: 0.5000 0.2820 0.7820  2 Zn 2.45, 2 Sb 2.70
Zn: 0.5000 0.7180 0.2180  2 Zn 2.45, 2 Sb 2.70
Zn: 0.7180 0.5000 0.2180  2 Zn 2.45, 2 Sb 2.70
Sb: 0.2500 0.7500 0.5000  4 Zn 2.70, 2 Sb 3.01
Sb: 0.7500 0.2500 0.5000  4 Zn 2.70, 2 Sb 3.01

Output
- E_tot (eV per atom) = -2.29
- symmetry = I4/mmm, No. 139
- spin magnetization (μB/cell) = 0.026